[1]
Below is crystalline ZrZn2Ni2 at its relaxed geometry, with properties calculated at the PBE level.

Values from the calculation:
The value obtained for the density of states at the Fermi level is 3.20 states/eV/cell. Its symmetry is I4/mmm (139). The total magnetization comes out at 0.00 Bohr magnetons per cell. The calculation puts the energy of formation at -0.26 eV/atom. The calculation puts the offset from the most stable computed form at 0.0 meV/atom. The total energy comes out at -4.791 eV/atom.

a b c (Å): 6.342 6.342 6.342
angles (deg): 147.13 147.13 47.17
Fractional positions:
Zr  0.000  0.000  0.000
Zn  0.250  0.750  0.500
Zn  0.750  0.250  0.500
Ni  0.400  0.400  0.000
Ni  0.600  0.600  0.000


[2]
Below is crystalline Zr3Ni8 at its relaxed geometry, with properties calculated at the PBE level.

Values from the calculation:
The value obtained for the density of states at the Fermi level is 8.87 states/eV/cell. Its symmetry is P-1 (2). The total magnetization comes out at 0.00 Bohr magnetons per cell. The calculation puts the energy of formation at -0.23 eV/atom. The total energy comes out at -6.763 eV/atom.

a b c (Å): 4.166 4.884 7.798
angles (deg): 90.32 90.90 90.00
Fractional positions:
Zr  0.000  0.000  0.000
Zr  0.000  0.500  0.500
Zr  0.500  0.000  0.500
Ni  0.006  0.000  0.679
Ni  0.011  0.500  0.837
Ni  0.492  0.260  0.208
Ni  0.492  0.741  0.206
Ni  0.508  0.259  0.794
Ni  0.508  0.740  0.792
Ni  0.989  0.500  0.163
Ni  0.994  0.000  0.321


[3]
Below is crystalline Zr3Ni2 at its relaxed geometry, with properties calculated at the PBE level.

Values from the calculation:
The value obtained for the density of states at the Fermi level is 5.05 states/eV/cell. Its symmetry is Immm (71). The total magnetization comes out at 0.00 Bohr magnetons per cell. The calculation puts the energy of formation at -0.28 eV/atom. The calculation puts the offset from the most stable computed form at 0.0 meV/atom. The total energy comes out at -7.725 eV/atom.

a b c (Å): 5.614 5.614 5.614
angles (deg): 144.43 113.40 77.85
Fractional positions:
Zr  0.000  0.000  0.000
Zr  0.300  0.800  0.500
Zr  0.700  0.200  0.500
Ni  0.304  0.500  0.804
Ni  0.696  0.500  0.196


[4]
Below is crystalline Zr2Ni at its relaxed geometry, with properties calculated at the PBE level.

Values from the calculation:
The value obtained for the density of states at the Fermi level is 5.02 states/eV/cell. Its symmetry is C2/c (15). The total magnetization comes out at 0.00 Bohr magnetons per cell. The calculation puts the energy of formation at -0.32 eV/atom. The total energy comes out at -7.948 eV/atom.

a b c (Å): 5.293 5.293 5.262
angles (deg): 119.63 119.63 75.76
Fractional positions:
Zr  0.000  0.327  0.164
Zr  0.000  0.673  0.836
Zr  0.327  0.000  0.664
Zr  0.673  0.000  0.336
Ni  0.499  0.501  0.250
Ni  0.501  0.499  0.750


[5]
Below is crystalline Zr3Ni4 at its relaxed geometry, with properties calculated at the PBE level.

Values from the calculation:
The value obtained for the density of states at the Fermi level is 9.30 states/eV/cell. Its symmetry is R-3 (148). The total magnetization comes out at 0.00 Bohr magnetons per cell. The calculation puts the energy of formation at -0.43 eV/atom. The calculation puts the offset from the most stable computed form at 0.0 meV/atom. The total energy comes out at -7.397 eV/atom.

a b c (Å): 7.199 7.199 7.199
angles (deg): 114.31 114.31 114.31
Fractional positions:
Zr  0.015  0.402  0.270
Zr  0.270  0.015  0.402
Zr  0.402  0.270  0.015
Zr  0.598  0.730  0.985
Zr  0.730  0.985  0.598
Zr  0.985  0.598  0.730
Ni  0.000  0.000  0.000
Ni  0.066  0.229  0.559
Ni  0.229  0.559  0.066
Ni  0.441  0.934  0.771
Ni  0.500  0.500  0.500
Ni  0.559  0.066  0.229
Ni  0.771  0.441  0.934
Ni  0.934  0.771  0.441


[6]
Below is crystalline ZrNi2 at its relaxed geometry, with properties calculated at the PBE level.

Values from the calculation:
The value obtained for the density of states at the Fermi level is 8.72 states/eV/cell. Its symmetry is Pa-3 (205). The total magnetization comes out at 0.00 Bohr magnetons per cell. The calculation puts the energy of formation at 0.44 eV/atom. The total energy comes out at -6.266 eV/atom.

a b c (Å): 5.959 5.959 5.959
angles (deg): 90.00 90.00 90.00
Fractional positions:
Zr  0.000  0.000  0.000
Zr  0.000  0.500  0.500
Zr  0.500  0.000  0.500
Zr  0.500  0.500  0.000
Ni  0.110  0.610  0.890
Ni  0.110  0.890  0.390
Ni  0.390  0.110  0.890
Ni  0.390  0.390  0.390
Ni  0.610  0.610  0.610
Ni  0.610  0.890  0.110
Ni  0.890  0.110  0.610
Ni  0.890  0.390  0.110


[7]
Below is crystalline Zr2Ni at its relaxed geometry, with properties calculated at the PBE level.

Values from the calculation:
The value obtained for the density of states at the Fermi level is 6.91 states/eV/cell. Its symmetry is Fd-3m (227). The total magnetization comes out at 0.00 Bohr magnetons per cell. The calculation puts the energy of formation at 0.65 eV/atom. The total energy comes out at -6.972 eV/atom.

a b c (Å): 5.551 5.551 5.551
angles (deg): 60.00 60.00 60.00
Fractional positions:
Zr  0.000  0.000  0.000
Zr  0.000  0.000  0.500
Zr  0.000  0.500  0.000
Zr  0.500  0.000  0.000
Ni  0.375  0.375  0.375
Ni  0.625  0.625  0.625


[8]
Below is crystalline Zr2Ni at its relaxed geometry, with properties calculated at the PBE level.

Values from the calculation:
The value obtained for the density of states at the Fermi level is 30.95 states/eV/cell. Its symmetry is Fd-3m (227). The total magnetization comes out at 0.00 Bohr magnetons per cell. The calculation puts the energy of formation at -0.23 eV/atom. The total energy comes out at -7.858 eV/atom.

a b c (Å): 8.635 8.635 8.635
angles (deg): 60.00 60.00 60.00
Fractional positions:
Zr  0.000  0.000  0.000
Zr  0.000  0.000  0.500
Zr  0.000  0.500  0.000
Zr  0.187  0.187  0.563
Zr  0.187  0.563  0.187
Zr  0.187  0.563  0.563
Zr  0.437  0.437  0.813
Zr  0.437  0.813  0.437
Zr  0.437  0.813  0.813
Zr  0.500  0.000  0.000
Zr  0.563  0.187  0.187
Zr  0.563  0.187  0.563
Zr  0.563  0.563  0.187
Zr  0.813  0.437  0.437
Zr  0.813  0.437  0.813
Zr  0.813  0.813  0.437
Ni  0.150  0.783  0.783
Ni  0.217  0.217  0.217
Ni  0.217  0.217  0.850
Ni  0.217  0.850  0.217
Ni  0.783  0.150  0.783
Ni  0.783  0.783  0.150
Ni  0.783  0.783  0.783
Ni  0.850  0.217  0.217


Question: The lowest energy of formation belongs to which entry?
Answer: Zr3Ni4